[1]
Below is a relaxed Ba4LiBi3O12 crystal, with properties calculated at the PBEsol level.

Geometry as POSCAR:
```
Ba4LiBi3O12
1.0
-1.4746 -2.8231 -6.6480
4.4606 -4.5737 3.6774
-6.2848 0.8517 3.7570
O Ba Li Bi
12 4 1 3
Cartesian
2.2102 -5.4751 -2.1988
0.7758 -1.9217 -0.7718
-3.1332 -2.8349 -2.1881
-0.1656 -3.7102 2.9746
-0.4739 -0.9670 1.9315
1.0369 -4.6289 0.3733
-2.8520 -2.3539 2.9945
-5.7435 -1.4592 -2.1399
-1.3503 -2.7551 5.5030
-4.3358 -1.9162 0.4131
-2.0159 -0.5122 -0.7511
-0.4469 -4.1912 -2.2080
-3.1424 0.4258 1.8785
-1.6494 -3.2726 0.3932
2.2303 -2.2869 1.8387
-0.7373 -1.4115 -3.3240
0.0000 0.0000 0.0000
-3.8797 -0.9857 -1.4455
-0.9121 -1.8610 3.7172
1.4930 -3.6984 -1.4853
```

Calculated volume in Å³ per atom: 15.4
Symmetry: No. 229
E in eV per formula unit: -122.7

[2]
Below is a relaxed Ba3SrLu2Bi2O12 crystal, with properties calculated at the PBEsol level.

Geometry as POSCAR:
```
Ba3SrLu2Bi2O12
1.0
5.9935 0.0000 0.0000
0.0000 5.9935 0.0000
0.0000 0.0000 8.4742
O Bi Lu Ba Sr
12 2 2 3 1
Cartesian
0.0000 2.9967 4.2544
1.4956 1.5235 6.3306
1.4956 4.4699 6.3306
4.4979 1.5235 6.3306
4.4699 4.4979 2.1436
2.9967 0.0000 0.0222
1.5235 1.4956 2.1436
1.5235 4.4979 2.1436
2.9967 0.0000 4.2198
4.4699 1.4956 2.1436
4.4979 4.4699 6.3306
0.0000 2.9967 8.4520
0.0000 2.9967 6.3444
2.9967 0.0000 2.1298
0.0000 2.9967 2.1301
2.9967 0.0000 6.3441
0.0000 0.0000 0.0000
0.0000 0.0000 4.2371
2.9967 2.9967 0.0000
2.9967 2.9967 4.2371
```

Calculated volume in Å³ per atom: 15.2
Symmetry: No. 115
E in eV per formula unit: -139.3

[3]
Below is a relaxed Ba4Sr2Lu3Bi3O18 crystal, with properties calculated at the PBEsol level.

Geometry as POSCAR:
```
Ba4Sr2Lu3Bi3O18
1.0
-2.5286 -0.8279 5.3454
-2.9184 -1.5783 -4.9643
5.9409 -13.3513 0.6121
O Ba Lu Bi Sr
18 4 3 3 2
Cartesian
-1.1361 -4.7969 0.1875
-3.5828 -3.0906 -0.2939
-0.8175 -1.8690 -0.4873
3.0455 -11.0346 -1.7190
4.0017 -12.6760 1.1998
-0.2168 -6.2689 4.0321
-2.5161 -2.1756 -2.9861
2.9635 -13.4726 4.0034
1.1895 -6.2848 1.4197
0.7306 -9.5339 -3.0421
-0.7475 -9.5971 -0.5387
-1.4472 -7.4496 1.6041
-2.5571 -4.8693 2.8038
1.3580 -13.8438 1.3847
1.5548 -10.7699 0.9346
0.4466 -12.1827 -1.5371
0.1696 -3.6648 2.6130
2.0543 -8.3594 -0.7347
-1.0477 -4.1582 5.4835
-2.1669 -2.1855 1.9421
1.9315 -10.8515 5.8030
-0.3017 -6.9200 -1.2918
2.2827 -12.1813 2.4269
-1.8107 -3.5262 -1.4319
0.4591 -7.5424 5.6517
3.3980 -14.1480 5.9490
-0.6737 -5.5401 2.1043
1.1820 -10.2475 -1.0956
2.6467 -13.5323 -0.9018
0.7679 -8.7660 2.3399
```

Calculated volume in Å³ per atom: 15.0
Symmetry: No. 8
E in eV per formula unit: -209.3

Question: Number 3 is which compound?
Answer: Ba4Sr2Lu3Bi3O18